1.
Computed, not measured: a relaxed CdRh2Se crystal at the PBE level of DFT.

a = 6.466 Å, b = 6.466 Å, c = 6.466 Å
α = 90.00°, β = 90.00°, γ = 90.00°
Space group F-43m (No. 216)
One atom of each set of equivalent atoms:
Cd  0.000  0.000  0.000 x4
Rh  0.000  0.000  0.500 x4
Rh  0.250  0.250  0.750 x4
Se  0.250  0.250  0.250 x4

Calculated values
Fermi-level density of states   5.57 states/eV/f.u.
Theoretical density   9.76 g/cm³
Total moment   0.00 μB per formula unit
Formation energy from raw total energies   0.292 eV/atom

***

2.
Computed, not measured: a relaxed CdRhSe2 crystal at the PBE level of DFT.

a = 3.059 Å, b = 4.345 Å, c = 12.218 Å
α = 90.00°, β = 90.00°, γ = 90.00°
Space group Imm2 (No. 44)
One atom of each set of equivalent atoms:
Cd  0.000  0.000  0.000 x2
Rh  0.000  0.500  0.711 x2
Se  0.000  0.000  0.374 x2
Se  0.000  0.500  0.171 x2

Calculated values
Fermi-level density of states   2.12 states/eV/f.u.
Theoretical density   7.63 g/cm³
Total moment   0.00 μB per formula unit
Formation energy from raw total energies   -0.084 eV/atom

***

3.
Computed, not measured: a relaxed CdRhSe2 crystal at the PBE level of DFT.

a = 6.547 Å, b = 3.782 Å, c = 7.026 Å
α = 90.00°, β = 108.19°, γ = 90.00°
Space group C2/m (No. 12)
One atom of each set of equivalent atoms:
Cd  0.000  0.000  0.000 x2
Rh  0.000  0.500  0.500 x2
Se  0.233  0.000  0.698 x4

Calculated values
Fermi-level density of states   0.95 states/eV/f.u.
Theoretical density   7.50 g/cm³
Total moment   0.00 μB per formula unit
Formation energy from raw total energies   -0.325 eV/atom

***

4.
Computed, not measured: a relaxed Cd2RhSe crystal at the PBE level of DFT.

a = 7.697 Å, b = 7.697 Å, c = 5.530 Å
α = 90.00°, β = 90.00°, γ = 90.00°
Space group I-42d (No. 122)
One atom of each set of equivalent atoms:
Cd  0.246  0.250  0.125 x8
Rh  0.000  0.000  0.000 x4
Se  0.000  0.000  0.500 x4

Calculated values
Fermi-level density of states   2.80 states/eV/f.u.
Theoretical density   8.25 g/cm³
Total moment   0.00 μB per formula unit
Formation energy from raw total energies   0.119 eV/atom

***

5.
Computed, not measured: a relaxed CdRh2Se crystal at the PBE level of DFT.

a = 3.006 Å, b = 5.074 Å, c = 8.811 Å
α = 90.00°, β = 90.00°, γ = 90.00°
Space group Cmmm (No. 65)
One atom of each set of equivalent atoms:
Cd  0.000  0.000  0.000 x2
Rh  0.000  0.500  0.267 x4
Se  0.000  0.000  0.500 x2

Calculated values
Fermi-level density of states   4.80 states/eV/f.u.
Theoretical density   9.82 g/cm³
Total moment   0.00 μB per formula unit
Formation energy from raw total energies   0.177 eV/atom

***

6.
Computed, not measured: a relaxed CdRh2Se2 crystal at the PBE level of DFT.

a = 3.916 Å, b = 3.916 Å, c = 14.829 Å
α = 90.00°, β = 90.00°, γ = 90.00°
Space group I4/mmm (No. 139)
One atom of each set of equivalent atoms:
Cd  0.000  0.000  0.000 x2
Rh  0.000  0.500  0.250 x4
Se  0.000  0.000  0.353 x4

Calculated values
Fermi-level density of states   4.40 states/eV/f.u.
Theoretical density   6.95 g/cm³
Total moment   0.00 μB per formula unit
Formation energy from raw total energies   -0.126 eV/atom

***

7.
Computed, not measured: a relaxed Cd2RhSe crystal at the PBE level of DFT.

a = 4.366 Å, b = 3.130 Å, c = 6.517 Å
α = 90.00°, β = 109.46°, γ = 90.00°
Space group Pm (No. 6)
One atom of each set of equivalent atoms:
Cd  0.000  0.000  0.000 x1
Cd  0.336  0.500  0.673 x1
Rh  0.777  0.000  0.554 x1
Se  0.623  0.500  0.246 x1

Calculated values
Fermi-level density of states   1.50 states/eV/f.u.
Theoretical density   8.04 g/cm³
Total moment   0.00 μB per formula unit
Formation energy from raw total energies   -0.186 eV/atom

***

8.
Computed, not measured: a relaxed CdRh2Se crystal at the PBE level of DFT.

a = 9.781 Å, b = 3.145 Å, c = 4.644 Å
α = 90.00°, β = 107.01°, γ = 90.00°
Space group Cm (No. 8)
One atom of each set of equivalent atoms:
Cd  0.000  0.000  0.000 x2
Rh  0.039  0.500  0.528 x2
Rh  0.258  0.500  0.196 x2
Se  0.245  0.000  0.593 x2

Calculated values
Fermi-level density of states   1.98 states/eV/f.u.
Theoretical density   9.65 g/cm³
Total moment   0.00 μB per formula unit
Formation energy from raw total energies   -0.028 eV/atom